# 1
Density functional theory data (GGA-PBE) for an optimized crystal structure of Tb2Tm8Mg. Values from VASP.

The structure in Quantum ESPRESSO input format:
```
&SYSTEM
  ibrav = 0, nat = 11, ntyp = 3
/
ATOMIC_SPECIES
Tb 158.93 Tb.upf
Tm 168.93 Tm.upf
Mg 24.30 Mg.upf
ATOMIC_POSITIONS crystal
Tb 0.7568 0.3339 0.5136
Tb 0.2432 0.6661 0.4864
Tm 0.4213 0.5954 0.8425
Tm 0.6611 0.8730 0.3222
Tm 0.8480 0.8100 0.6960
Tm 0.9538 0.2643 0.9076
Tm 0.1520 0.1900 0.3040
Tm 0.3389 0.1270 0.6778
Tm 0.5787 0.4046 0.1575
Tm 0.0462 0.7357 0.0924
Mg 0.5000 0.0000 0.0000
CELL_PARAMETERS angstrom
5.4748 0.0000 0.0000
0.0000 6.1982 1.3067
-2.7374 -1.1835 9.4878
```

Computed properties:
energy relative to the lowest polymorph listed for this composition	0.000	eV/atom
total energy	-4.20	eV per atom
formation energy from the elements	37	meV per atom

=====

# 2
Density functional theory data (GGA-PBE) for an optimized crystal structure of Tb6Tm3Mg. Values from VASP.

The structure in Quantum ESPRESSO input format:
```
&SYSTEM
  ibrav = 0, nat = 20, ntyp = 3
/
ATOMIC_SPECIES
Tb 158.93 Tb.upf
Tm 168.93 Tm.upf
Mg 24.30 Mg.upf
ATOMIC_POSITIONS crystal
Tb 0.1017 0.8495 0.7095
Tb 0.6017 0.7095 0.8495
Tb 0.2688 0.5212 0.8301
Tb 0.7688 0.8301 0.5212
Tb 0.2835 0.9378 0.0622
Tb 0.6526 0.2948 0.7052
Tb 0.1526 0.7052 0.2948
Tb 0.7835 0.0622 0.9378
Tb 0.2688 0.1699 0.4788
Tb 0.7688 0.4788 0.1699
Tb 0.1017 0.2905 0.1505
Tb 0.6017 0.1505 0.2905
Tm 0.4395 0.9660 0.6826
Tm 0.9395 0.6826 0.9660
Tm 0.4245 0.5360 0.4640
Tm 0.9245 0.4640 0.5360
Tm 0.9395 0.0340 0.3174
Tm 0.4395 0.3174 0.0340
Mg 0.0049 0.2392 0.7608
Mg 0.5049 0.7608 0.2392
CELL_PARAMETERS angstrom
-5.6407 -1.9261 -6.7595
-3.8775 -6.0232 4.9519
-3.3987 7.9984 0.5571
```

Computed properties:
energy relative to the lowest polymorph listed for this composition	0.114	eV/atom
total energy	-4.15	eV per atom
formation energy from the elements	132	meV per atom

=====

Number 1: total magnetic moment 0.0 Bohr magnetons per cell. Number 2: total magnetic moment 0.0 Bohr magnetons per cell.